Entry 1:
Computed, not measured: a relaxed structure of GaB2F at the PBE level of DFT.

Unit cell a=4.5999 b=4.5999 c=10.0959 alpha=90.00 beta=90.00 gamma=90.00
Space group I-42d (No. 122)
Symmetry-distinct sites (fractional):
Ga1 0.0000 0.0000 0.0000 (multiplicity 4)
B1 0.2500 0.2500 0.1250 (multiplicity 8)
F1 0.0000 0.0000 0.5000 (multiplicity 4)

Computed properties:
ΔE_f (raw) (meV per atom): 763
Total energy (eV for the cell shown): -60.80
Relative energy among the computed polymorphs (eV/atom): 0.000

***

Entry 2:
Computed, not measured: a relaxed structure of GaBF at the PBE level of DFT.

Unit cell a=2.7079 b=4.7293 c=6.6696 alpha=76.18 beta=88.99 gamma=80.36
Space group P-1 (No. 2)
Symmetry-distinct sites (fractional):
Ga1 0.0413 0.2672 0.3901 (multiplicity 2)
B1 0.4120 0.5394 0.1131 (multiplicity 2)
F1 0.3193 0.8160 0.1431 (multiplicity 2)

Computed properties:
ΔE_f (raw) (meV per atom): -749
Total energy (eV for the cell shown): -27.64

***

Entry 3:
Computed, not measured: a relaxed structure of Ga2BF8 at the PBE level of DFT.

Unit cell a=9.5412 b=5.9893 c=5.0841 alpha=90.00 beta=109.97 gamma=90.00
Space group C2/m (No. 12)
Symmetry-distinct sites (fractional):
Ga1 0.1592 0.0000 0.4698 (multiplicity 4)
B1 0.0000 0.5000 0.0000 (multiplicity 2)
F1 0.0670 0.0000 0.7511 (multiplicity 4)
F2 0.0714 0.5000 0.8251 (multiplicity 4)
F3 0.1625 0.2821 0.2654 (multiplicity 8)

Computed properties:
ΔE_f (raw) (meV per atom): -2192
Total energy (eV for the cell shown): -103.63

***

Entry 4:
Computed, not measured: a relaxed structure of GaBF2 at the PBE level of DFT.

Unit cell a=2.7876 b=2.7876 c=21.6922 alpha=90.00 beta=90.00 gamma=120.00
Space group R-3m (No. 166, hexagonal axes)
Symmetry-distinct sites (fractional):
Ga1 0.0000 0.0000 0.0000 (multiplicity 3)
B1 0.0000 0.0000 0.5000 (multiplicity 3)
F1 0.0000 0.0000 0.0920 (multiplicity 6)

Computed properties:
ΔE_f (raw) (meV per atom): -297
Total energy (eV for the cell shown): -43.90
Relative energy among the computed polymorphs (eV/atom): 0.540

***

Entry 5:
Computed, not measured: a relaxed structure of GaBF4 at the PBE level of DFT.

Unit cell a=8.7126 b=5.6231 c=7.1897 alpha=90.00 beta=90.00 gamma=90.00
Space group Pnma (No. 62)
Symmetry-distinct sites (fractional):
Ga1 0.1936 0.2500 0.1744 (multiplicity 4)
B1 0.0645 0.2500 0.6821 (multiplicity 4)
F1 0.0802 0.0434 0.7961 (multiplicity 8)
F2 0.0809 0.7500 0.4026 (multiplicity 4)
F3 0.1832 0.2500 0.5468 (multiplicity 4)

Computed properties:
ΔE_f (raw) (meV per atom): -2498
Total energy (eV for the cell shown): -128.70

***

Entry 6:
Computed, not measured: a relaxed structure of GaB2F6 at the PBE level of DFT.

Unit cell a=10.6266 b=9.6477 c=7.3461 alpha=90.00 beta=133.08 gamma=90.00
Space group C2/c (No. 15)
Symmetry-distinct sites (fractional):
Ga1 0.0000 0.1916 0.2500 (multiplicity 4)
B1 0.2360 0.3875 0.7376 (multiplicity 8)
F1 0.1310 0.0631 0.0324 (multiplicity 8)
F2 0.1474 0.4752 0.5424 (multiplicity 8)
F3 0.1556 0.2723 0.7191 (multiplicity 8)

Computed properties:
ΔE_f (raw) (meV per atom): -2252
Total energy (eV for the cell shown): -191.52

***

Which value of total energy does entry 5 give?
-128.70 eV for the cell shown

***

Please write out number 4 again, unchanged.
Computed, not measured: a relaxed structure of GaBF2 at the PBE level of DFT.

Unit cell a=2.7876 b=2.7876 c=21.6922 alpha=90.00 beta=90.00 gamma=120.00
Space group R-3m (No. 166, hexagonal axes)
Symmetry-distinct sites (fractional):
Ga1 0.0000 0.0000 0.0000 (multiplicity 3)
B1 0.0000 0.0000 0.5000 (multiplicity 3)
F1 0.0000 0.0000 0.0920 (multiplicity 6)

Computed properties:
ΔE_f (raw) (meV per atom): -297
Total energy (eV for the cell shown): -43.90
Relative energy among the computed polymorphs (eV/atom): 0.540

***

The lowest total energy belongs to which entry?
GaB2F6